This record from the Alexandria database describes a geometry-optimized Na2HfW3O12 structure. The functional is PBE+U.

Output
For the density of states at the Fermi level, the calculation gives 0.00 states/eV/cell. As for the crystal system: trigonal. The space group is No. 166. The calculation puts the electronic total energy at -134.1 eV for the cell shown.

POSCAR file:
```
Na2HfW3O12
1.0
7.493 0.069 0.049
3.760 6.482 0.049
3.760 2.189 6.101
Na Hf W O
2 1 3 12
direct
0.696 0.696 0.696
0.304 0.304 0.304
0.000 0.000 0.000
0.500 0.000 0.000
0.000 0.500 0.000
0.000 0.000 0.500
0.308 0.308 0.944
0.934 0.934 0.330
0.330 0.934 0.934
0.944 0.308 0.308
0.934 0.330 0.934
0.308 0.944 0.308
0.692 0.692 0.056
0.066 0.066 0.670
0.670 0.066 0.066
0.056 0.692 0.692
0.066 0.670 0.066
0.692 0.056 0.692
```